Here is crystalline HfNb2AlNi at its relaxed geometry from Alexandria. Energies are from PBE-GGA.

Its total energy is -6.203 eV/atom. The formation energy is 1720.2 meV/atom.

The space group is P4/mmm (No. 123) and the conventional cell measures 4.8400, 4.8400 and 5.0294 Å, with angles of 90.00, 90.00 and 90.00 degrees. The inequivalent atoms are Hf at (0.0000, 0.0000, 0.0000), Nb at (0.0000, 0.5000, 0.0000), Al at (0.0000, 0.0000, 0.5000) and Ni at (0.5000, 0.5000, 0.5000).